(1)
The following is a DFT calculation (PBE) of crystalline TaBeAg at its relaxed geometry.

Its formation energy is 0.366 eV per atom.

The space group is P3m1 (No. 156) and the conventional cell measures 2.8267, 2.8267 and 6.6926 Å, with angles of 90.00, 90.00 and 120.00 degrees. The asymmetric unit holds Ta at (0.0000, 0.0000, 0.0000), Be at (0.3333, 0.6667, 0.6811) and Ag at (0.6667, 0.3333, 0.3838).

---

(2)
The following is a DFT calculation (PBE) of crystalline Sm5AlS4 at its relaxed geometry.

The uncorrected formation energy is -1.66 eV/atom.

The space group is I4/m (No. 87) and the conventional cell measures 9.138, 9.138 and 5.748 Å, with angles of 90.00, 90.00 and 90.00 degrees. The asymmetric unit holds Sm at (0.000, 0.000, 0.000), Sm at (0.101, 0.306, 0.500), Al at (0.000, 0.000, 0.500) and S at (0.102, 0.301, 0.000).

---

(3)
The following is a DFT calculation (PBE) of crystalline AlVZn at its relaxed geometry.

Its formation energy is -0.046 eV per atom.

The space group is P2_1/m (No. 11) and the conventional cell measures 3.273, 3.072 and 9.340 Å, with angles of 90.00, 99.99 and 90.00 degrees. The asymmetric unit holds Al at (0.140, 0.250, 0.277), V at (0.282, 0.250, 0.565) and Zn at (0.442, 0.250, 0.888).

---

(4)
The following is a DFT calculation (PBE) of crystalline PmAg2Hg5 at its relaxed geometry.

Its formation energy is -0.082 eV per atom.

The space group is I4/mcm (No. 140) and the conventional cell measures 7.711, 7.711 and 12.974 Å, with angles of 90.00, 90.00 and 90.00 degrees. The asymmetric unit holds Pm at (0.000, 0.000, 0.250), Ag at (0.143, 0.357, 0.000), Hg at (0.000, 0.000, 0.000) and Hg at (0.148, 0.352, 0.349).

---

(5)
The following is a DFT calculation (PBE) of crystalline Pr2Dy12Y5 at its relaxed geometry.

Its formation energy is 0.085 eV per atom.

The space group is P-1 (No. 2) and the conventional cell measures 6.770, 8.793 and 11.430 Å, with angles of 110.88, 92.37 and 100.61 degrees. The asymmetric unit holds Pr at (0.158, 0.383, 0.073), Dy at (0.118, 0.777, 0.247), Dy at (0.152, 0.977, 0.865), Dy at (0.168, 0.574, 0.685), Dy at (0.338, 0.553, 0.412), Dy at (0.383, 0.138, 0.234), Dy at (0.386, 0.306, 0.774), Y at (0.045, 0.181, 0.462), Y at (0.380, 0.739, 0.985) and Y at (0.500, 0.000, 0.500).

---

(6)
The following is a DFT calculation (PBE) of crystalline AlTl2Cu at its relaxed geometry.

Its formation energy is 0.355 eV per atom.

The space group is P2/m (No. 10) and the conventional cell measures 3.560, 3.865 and 6.665 Å, with angles of 90.00, 101.13 and 90.00 degrees. The asymmetric unit holds Al at (0.000, 0.000, 0.000), Tl at (0.448, 0.500, 0.739) and Cu at (0.000, 0.000, 0.500).

---

(7)
The following is a DFT calculation (PBE) of crystalline Ca2SmHf at its relaxed geometry.

Its formation energy is 0.517 eV per atom.

The space group is R-3m (No. 166, hexagonal axes) and the conventional cell measures 3.3893, 3.3893 and 38.5595 Å, with angles of 90.00, 90.00 and 120.00 degrees. The asymmetric unit holds Ca at (0.0000, 0.0000, 0.0840), Sm at (0.0000, 0.0000, 0.5000) and Hf at (0.0000, 0.0000, 0.0000).

---

(8)
The following is a DFT calculation (PBE) of crystalline LaMgAsSe2 at its relaxed geometry.

The uncorrected formation energy is -0.12 eV/atom.

The space group is P4/mmm (No. 123) and the conventional cell measures 5.684, 5.684 and 5.702 Å, with angles of 90.00, 90.00 and 90.00 degrees. The asymmetric unit holds La at (0.000, 0.000, 0.000), Mg at (0.500, 0.500, 0.500), As at (0.000, 0.000, 0.500) and Se at (0.000, 0.500, 0.000).

---

no.,mass density (g cm⁻³)
1,10.68
2,6.28
3,5.15
4,11.74
5,7.16
6,9.22
7,5.31
8,3.57